(1)
An optimized crystal structure of RbCrGeN2. Source: Alexandria via LeMat-Bulk, functional GGA-PBE.

abc: 4.213 4.918 4.213
angles: 90.00 90.00 90.00
Site moments in Bohr magnetons follow the coordinates.
Positions (direct):
N: 0.500 0.000 0.000  -0.56
N: 0.000 0.000 0.500  -0.47
Ge: 0.000 0.000 0.000  0.03
Cr: 0.000 0.500 0.000  -4.11
Rb: 0.500 0.500 0.500  -0.07

## Properties
Raw formation energy ... 1.435 eV/atom


(2)
An optimized crystal structure of LiTh2Co. Source: Alexandria via LeMat-Bulk, functional GGA-PBE.

abc: 3.790 3.790 10.273
angles: 79.37 79.37 60.00
Positions (direct):
Th: 0.885 0.885 0.344
Th: 0.115 0.115 0.656
Co: 0.500 0.500 0.500
Li: 0.000 0.000 0.000

## Properties
DFT formation energy ... 0.109 eV per atom
Excess energy over the best structure of this formula in the dataset ... 0.46 eV/f.u.


(3)
An optimized crystal structure of Mg2TeSeBr. Source: Alexandria via LeMat-Bulk, functional GGA-PBE.

abc: 5.370 5.501 5.370
angles: 90.00 90.00 90.00
Positions (direct):
Se: 0.000 0.000 0.000
Br: 0.500 0.500 0.500
Mg: 0.500 0.000 0.000
Te: 0.000 0.500 0.000
Mg: 0.000 0.000 0.500

## Properties
Raw formation energy ... -0.082 eV/atom


(4)
An optimized crystal structure of NaRh2O. Source: Alexandria via LeMat-Bulk, functional GGA-PBE.

abc: 5.775 5.775 6.513
angles: 63.68 63.68 90.00
Site moments in Bohr magnetons follow the coordinates.
Positions (direct):
Rh: 0.875 0.625 0.750  0.30
Rh: 0.375 0.625 0.250  0.40
Rh: 0.375 0.125 0.250  0.43
O: 0.500 0.500 0.000  0.10
Na: 0.750 0.250 0.500  0.00
Na: 0.000 0.000 0.000  0.00
O: 0.250 0.750 0.500  0.10
Rh: 0.375 0.625 0.750  0.42

## Properties
Raw formation energy ... 0.039 eV/atom